Li2TcSnO6 (PBE-GGA, optimized geometry); magnetization = 1.0 μB per formula unit; space-group type = No. 99; DOS(E_F) = 0.186 states/eV/atom; crystal system = tetragonal; energy relative to the elements, uncorrected = -1.4929 eV/atom
1.0
5.605 0.000 0.000
0.000 5.605 0.000
0.000 0.000 4.075
Li Tc Sn O
2 1 1 6
Cartesian
0.000 2.802 0.000
2.802 0.000 0.000
0.000 0.000 2.976
2.802 2.802 3.185
0.000 0.000 1.269
1.326 1.326 3.397
1.326 4.279 3.397
2.802 2.802 1.194
4.279 1.326 3.397
4.279 4.279 3.397